No. 1
Compound: TaGaIrBr2
Source: Alexandria via LeMat-Bulk
Functional: GGA-PBE
Structure: relaxed

The structure in POSCAR format:
```
TaGaIrBr2
1.0
-2.813 -1.442 -3.383
1.184 -5.423 1.327
-3.550 -0.048 2.972
Ga Ir Br Ta
1 1 2 1
direct
0.000 0.000 0.000
0.500 0.500 0.500
0.000 0.000 0.500
0.500 0.000 0.000
0.000 0.500 0.000
```

E_tot ... -3.80 eV per atom
Uncorrected formation energy ... 8.09 eV/f.u.
N(E_F) ... 1.318 states/eV/atom
SG ... P4/mmm

***

No. 2
Compound: BeIr2Os
Source: Alexandria via LeMat-Bulk
Functional: GGA-PBE
Structure: relaxed

The structure in POSCAR format:
```
BeIr2Os
1.0
-1.298 -1.725 1.751
1.921 -3.491 -2.015
3.396 0.265 2.779
Ir Os Be
2 1 1
direct
0.000 0.000 0.000
0.500 0.500 0.000
0.500 0.000 0.500
0.000 0.500 0.500
```

E_tot ... -7.91 eV per atom
N(E_F) ... 1.207 states/eV/atom
SG ... Pmmm
DFT formation energy ... 99 kJ/mol of formula units

***

No. 3
Compound: PrNiPb2
Source: Alexandria via LeMat-Bulk
Functional: GGA-PBE
Structure: relaxed

The structure in POSCAR format:
```
PrNiPb2
1.0
4.519 0.000 0.000
2.259 3.913 0.000
2.259 1.304 5.735
Ni Pb Pr
1 2 1
direct
0.000 0.000 0.000
0.277 0.277 0.169
0.723 0.723 0.831
0.500 0.500 0.500
```

E_tot ... -4.71 eV per atom
N(E_F) ... 0.463 states/eV/atom
SG ... R-3m
DFT formation energy ... -81 kJ/mol of formula units

***

No. 4
Compound: P2HBrCl
Source: Alexandria via LeMat-Bulk
Functional: GGA-PBE
Structure: relaxed

The structure in POSCAR format:
```
P2HBrCl
1.0
5.027 0.000 0.000
0.000 5.027 0.000
0.000 0.000 5.872
H P Br Cl
1 2 1 1
direct
0.500 0.500 0.500
0.000 0.500 0.000
0.500 0.000 0.000
0.000 0.000 0.000
0.000 0.000 0.500
```

E_tot ... -1.96 eV per atom
Excess energy over the best structure of this formula in the dataset ... 556.8 meV/atom
N(E_F) ... 0.602 states/eV/atom
SG ... P4/mmm

***

No. 5
Compound: Sc2Al2Cl
Source: Alexandria via LeMat-Bulk
Functional: GGA-PBE
Structure: relaxed

The structure in POSCAR format:
```
Sc2Al2Cl
1.0
6.861 0.000 0.000
0.000 6.861 0.000
0.000 0.000 4.440
Sc Cl Al
4 2 4
direct
0.837 0.663 0.000
0.663 0.163 0.000
0.337 0.837 0.000
0.163 0.337 0.000
0.000 0.000 0.000
0.500 0.500 0.000
0.365 0.135 0.500
0.865 0.365 0.500
0.135 0.635 0.500
0.635 0.865 0.500
```

E_tot ... -4.97 eV per atom
Uncorrected formation energy ... -2.86 eV/f.u.
N(E_F) ... 0.507 states/eV/atom
SG ... P4/mbm

***

No. 6
Compound: Y2Sc4Te9
Source: Alexandria via LeMat-Bulk
Functional: GGA-PBE
Structure: relaxed

The structure in POSCAR format:
```
Y2Sc4Te9
1.0
7.416 -0.004 0.014
3.703 6.422 0.041
-0.052 -0.107 20.448
Te Sc Y
18 8 4
direct
0.652 0.362 0.918
0.349 0.011 0.583
0.641 0.347 0.583
0.638 0.014 0.082
0.001 0.331 0.750
0.348 0.638 0.082
0.987 0.361 0.418
0.986 0.654 0.918
0.013 0.639 0.582
0.651 0.989 0.417
0.359 0.653 0.417
0.669 0.332 0.250
0.331 0.000 0.250
0.362 0.986 0.918
0.999 0.669 0.250
0.331 0.668 0.750
0.014 0.346 0.082
0.669 0.000 0.750
0.333 0.334 0.994
0.666 0.667 0.328
0.667 0.666 0.006
0.668 0.666 0.827
0.334 0.333 0.672
0.335 0.333 0.495
0.665 0.667 0.505
0.332 0.334 0.173
0.999 0.002 0.342
0.000 0.002 0.843
0.000 0.998 0.157
0.001 0.998 0.658
```

E_tot ... -5.71 eV per atom
Uncorrected formation energy ... -19.05 eV/f.u.
SG ... P-1

***

No. 7
Compound: Mn2Si2Bi
Source: Alexandria via LeMat-Bulk
Functional: GGA-PBE
Structure: relaxed

The structure in POSCAR format:
```
Mn2Si2Bi
1.0
3.553 0.000 0.000
0.000 3.553 0.000
1.776 1.776 6.171
Mn Bi Si
2 1 2
direct
0.382 0.382 0.236
0.618 0.618 0.764
0.000 0.000 0.000
0.250 0.750 0.500
0.750 0.250 0.500
```

E_tot ... -6.59 eV per atom
Uncorrected formation energy ... 0.10 eV/f.u.
N(E_F) ... 0.483 states/eV/atom
SG ... I4/mmm

***

No. 8
Compound: LiLa2Ge3
Source: Alexandria via LeMat-Bulk
Functional: GGA-PBE
Structure: relaxed

The structure in POSCAR format:
```
LiLa2Ge3
1.0
5.813 0.961 -1.643
-1.400 5.724 -1.643
-0.651 -0.987 8.524
Li La Ge
2 4 6
direct
0.666 0.666 0.331
0.334 0.334 0.669
0.240 0.240 0.000
0.750 0.250 0.500
0.250 0.750 0.500
0.760 0.760 0.000
0.169 0.169 0.339
0.657 0.173 0.831
0.343 0.827 0.169
0.831 0.831 0.661
0.173 0.657 0.831
0.827 0.343 0.169
```

E_tot ... -5.02 eV per atom
N(E_F) ... 0.395 states/eV/atom
SG ... Fmmm
DFT formation energy ... -436 kJ/mol of formula units

***

No. 9
Compound: ErPu2MnC4
Source: Alexandria via LeMat-Bulk
Functional: GGA-PBE
Structure: relaxed

The structure in POSCAR format:
```
ErPu2MnC4
1.0
-0.481 2.178 2.659
-4.970 -2.930 -0.763
3.812 -8.449 7.611
Mn C Pu Er
2 8 4 2
direct
0.165 0.330 0.250
0.835 0.670 0.750
0.000 0.000 0.500
0.579 0.159 0.250
0.000 0.000 0.000
0.735 0.470 0.869
0.735 0.470 0.631
0.421 0.841 0.750
0.265 0.530 0.131
0.265 0.530 0.369
0.368 0.736 0.545
0.368 0.736 0.955
0.632 0.264 0.045
0.632 0.264 0.455
0.105 0.210 0.750
0.895 0.790 0.250
```

E_tot ... -9.87 eV per atom
N(E_F) ... 1.560 states/eV/atom
SG ... Cmcm
DFT formation energy ... 30 kJ/mol of formula units

***

No. 10
Compound: Ce2PmCu2Ge2
Source: Alexandria via LeMat-Bulk
Functional: GGA-PBE
Structure: relaxed

The structure in POSCAR format:
```
Ce2PmCu2Ge2
1.0
-0.850 -1.194 3.991
3.087 0.005 2.923
-1.319 8.308 4.470
Pm Cu Ge Ce
1 2 2 2
direct
0.000 0.000 0.000
0.593 0.593 0.221
0.407 0.407 0.779
0.738 0.738 0.787
0.262 0.262 0.213
0.141 0.141 0.578
0.859 0.859 0.422
```

E_tot ... -5.37 eV per atom
N(E_F) ... 1.242 states/eV/atom
SG ... R-3m
DFT formation energy ... -344 kJ/mol of formula units

***

No. 11
Compound: Er4SnRu
Source: Alexandria via LeMat-Bulk
Functional: GGA-PBE
Structure: relaxed

The structure in POSCAR format:
```
Er4SnRu
1.0
-4.971 -1.184 3.284
-2.622 -0.597 -7.509
4.944 -5.924 2.021
Ru Er Sn
2 8 2
direct
0.250 0.000 0.000
0.750 0.000 0.000
0.659 0.210 0.350
0.841 0.650 0.790
0.934 0.057 0.720
0.434 0.720 0.057
0.341 0.790 0.650
0.159 0.350 0.210
0.566 0.280 0.943
0.066 0.943 0.280
0.750 0.629 0.371
0.250 0.371 0.629
```

E_tot ... -5.75 eV per atom
Excess energy over the best structure of this formula in the dataset ... 0.0 meV/atom
N(E_F) ... 0.907 states/eV/atom
SG ... C2/c
DFT formation energy ... -289 kJ/mol of formula units

***

No. 12
Compound: Sr3In4Ge4
Source: Alexandria via LeMat-Bulk
Functional: GGA-PBE
Structure: relaxed

The structure in POSCAR format:
```
Sr3In4Ge4
1.0
-4.079 2.281 -1.033
-3.481 -7.069 -1.866
1.425 1.595 8.871
Ge Sr In
4 3 4
direct
0.500 0.831 0.000
0.215 0.717 0.435
0.785 0.283 0.565
0.500 0.169 0.000
0.120 0.120 0.240
0.880 0.880 0.760
0.000 0.500 0.000
0.330 0.531 0.659
0.670 0.872 0.341
0.670 0.469 0.341
0.330 0.128 0.659
```

E_tot ... -3.48 eV per atom
N(E_F) ... 0.361 states/eV/atom
SG ... C2/m
DFT formation energy ... -367 kJ/mol of formula units